Computed, not measured: crystalline AlTl at its relaxed geometry at the PBE level of DFT.

Output
ΔE_f: 0.631 eV per formula unit

Cell lengths 3.2123, 3.2123, 5.4787 Å; angles 90.00, 90.00, 120.00 degrees
Last column: nearest neighbours and their distance in Å.
Space group P-6m2 (No. 187)
One atom of each set of equivalent atoms:
Al  0.0000  0.0000  0.0000  6 Al 3.21, 6 Tl 3.31
Tl  0.6667  0.3333  0.5000  6 Tl 3.21, 6 Al 3.31